Entry 1:
! PBE-GGA SrTa2As, optimized geometry; values from VASP
! Space group: Cm (8)
! Volume in A^3/atom: 24.431
&SYSTEM
  ibrav = 0, nat = 4, ntyp = 3
/
ATOMIC_SPECIES
Sr 87.62 Sr.upf
Ta 180.95 Ta.upf
As 74.92 As.upf
CELL_PARAMETERS angstrom
4.3971 -1.6646 0.0000
4.3971 1.6646 0.0000
-1.3064 0.0000 6.6756
ATOMIC_POSITIONS angstrom
Sr 0.0000 0.0000 0.0000
Ta 0.9943 0.0000 4.2844
Ta 3.4804 0.0000 3.1518
As 6.0346 0.0000 2.1965

Entry 2:
! PBE-GGA SrTa2As, optimized geometry; values from VASP
! Space group: C2/m (12)
! Volume in A^3/atom: 21.471
&SYSTEM
  ibrav = 0, nat = 4, ntyp = 3
/
ATOMIC_SPECIES
Sr 87.62 Sr.upf
Ta 180.95 Ta.upf
As 74.92 As.upf
CELL_PARAMETERS angstrom
2.9956 -5.4568 0.0000
2.9956 5.4568 0.0000
-1.4663 0.0000 2.6270
ATOMIC_POSITIONS angstrom
Sr 0.0000 0.0000 0.0000
Ta 0.7646 2.7284 1.3135
Ta 0.7646 -2.7284 1.3135
As 2.9956 0.0000 0.0000

no.,calculated total energy (eV per cell),formation energy from the elements (eV/atom),magnetic moment (μB/f.u.)
1,-29.30,0.185,0.00
2,-27.67,0.592,0.00